The following is a PBE calculation of crystalline CrPdAu4 at its relaxed geometry, from the Alexandria database.

The calculation puts the spin magnetization at 8.3 μB per cell. Its mass density is 15286 kg/m3. For the total DFT energy (no corrections), the calculation gives -4.671 eV per atom. The calculation puts the formation energy at -1.58 kJ per mole of atoms.

It has space group C2/m (No. 12), with a = 4.999 Å, b = 8.731 Å, c = 4.989 Å, α = 90.00°, β = 109.21° and γ = 90.00°. The asymmetric unit holds Cr at (0.000, 0.000, 0.000), Pd at (0.000, 0.500, 0.500), Au at (0.000, 0.164, 0.500) and Au at (0.000, 0.335, 0.000).



The following is a PBE calculation of crystalline CrPd2Au2 at its relaxed geometry, from the Alexandria database.

The calculation puts the spin magnetization at 7.9 μB per cell. Its mass density is 12747 kg/m3. For the total DFT energy (no corrections), the calculation gives -5.189 eV per atom. The calculation puts the formation energy at 11.99 kJ per mole of atoms.

It has space group P6_3/mmc (No. 194), with a = 4.4037 Å, b = 4.4037 Å, c = 10.2195 Å, α = 90.00°, β = 90.00° and γ = 120.00°. The asymmetric unit holds Cr at (0.0000, 0.0000, 0.2500), Pd at (0.0000, 0.0000, 0.0000), Pd at (0.3333, 0.6667, 0.2500) and Au at (0.3333, 0.6667, 0.6070).